The following is a PBE+U calculation of a relaxed structure of VCdInO5, from Alexandria.

Results
density	4.8	g cm⁻³
space group	C2/c
E	-6.0515	eV/atom

Lattice parameters (Å, degrees): 6.048 6.048 7.655 107.58 107.58 96.42
Atoms (fractional coordinates):
1 O 0.291 0.331 0.640
2 O 0.731 0.223 0.424
3 O 0.709 0.669 0.360
4 O 0.669 0.709 0.860
5 O 0.331 0.291 0.140
6 O 0.223 0.731 0.924
7 O 0.081 0.919 0.250
8 O 0.919 0.081 0.750
9 O 0.777 0.269 0.076
10 O 0.269 0.777 0.576
11 Cd 0.685 0.315 0.750
12 Cd 0.315 0.685 0.250
13 V 0.643 0.357 0.250
14 V 0.357 0.643 0.750
15 In 0.000 0.000 0.000
16 In 0.000 0.000 0.500